(A)
# PBE-GGA RbBa2H2, relaxed
data_RbBa2H2
_symmetry_space_group_name_H-M 'P 1'
_symmetry_Int_Tables_number 1
_symmetry_space_group_name_Hall 'P 1'
_cell_length_a 5.340
_cell_length_b 5.340
_cell_length_c 8.223
_cell_angle_alpha 71.05
_cell_angle_beta 71.05
_cell_angle_gamma 90.00
loop_
_atom_site_label
_atom_site_type_symbol
_atom_site_fract_x
_atom_site_fract_y
_atom_site_fract_z
H1 H 0.207 0.207 0.585
H2 H 0.793 0.793 0.415
Ba1 Ba 0.750 0.250 0.500
Ba2 Ba 0.250 0.750 0.500
Rb1 Rb 0.000 0.000 0.000
# Magnetic moment = 0.20 μB/atom

(B)
# PBE-GGA RbBa2H2, relaxed
data_RbBa2H2
_symmetry_space_group_name_H-M 'P 1'
_symmetry_Int_Tables_number 1
_symmetry_space_group_name_Hall 'P 1'
_cell_length_a 9.200
_cell_length_b 9.200
_cell_length_c 5.009
_cell_angle_alpha 90.00
_cell_angle_beta 90.00
_cell_angle_gamma 90.00
loop_
_atom_site_label
_atom_site_type_symbol
_atom_site_fract_x
_atom_site_fract_y
_atom_site_fract_z
Ba1 Ba 0.676 0.824 0.500
Ba2 Ba 0.324 0.176 0.500
Ba3 Ba 0.176 0.676 0.500
Ba4 Ba 0.824 0.324 0.500
Rb1 Rb 0.000 0.000 0.000
Rb2 Rb 0.500 0.500 0.000
H1 H 0.267 0.233 0.000
H2 H 0.767 0.267 0.000
H3 H 0.733 0.767 0.000
H4 H 0.233 0.733 0.000
# Magnetic moment = 0.00 μB/atom

Which structure is most stable? (A), by 0.070 eV/atom over the runner-up.

(A)
# PBE-GGA RbBa2SrH, relaxed
data_RbBa2SrH
_symmetry_space_group_name_H-M 'P 1'
_symmetry_Int_Tables_number 1
_symmetry_space_group_name_Hall 'P 1'
_cell_length_a 6.429
_cell_length_b 6.429
_cell_length_c 5.755
_cell_angle_alpha 90.00
_cell_angle_beta 90.00
_cell_angle_gamma 90.00
loop_
_atom_site_label
_atom_site_type_symbol
_atom_site_fract_x
_atom_site_fract_y
_atom_site_fract_z
Ba1 Ba 0.500 0.000 0.000
Ba2 Ba 0.000 0.500 0.000
Rb1 Rb 0.500 0.500 0.500
H1 H 0.000 0.000 0.000
Sr1 Sr 0.000 0.000 0.500
# Magnetic moment = 0.00 μB/atom

(B)
# PBE-GGA RbBa2SrH, relaxed
data_RbBa2SrH
_symmetry_space_group_name_H-M 'P 1'
_symmetry_Int_Tables_number 1
_symmetry_space_group_name_Hall 'P 1'
_cell_length_a 6.047
_cell_length_b 6.047
_cell_length_c 6.590
_cell_angle_alpha 90.00
_cell_angle_beta 90.00
_cell_angle_gamma 90.00
loop_
_atom_site_label
_atom_site_type_symbol
_atom_site_fract_x
_atom_site_fract_y
_atom_site_fract_z
H1 H 0.000 0.000 0.000
Sr1 Sr 0.500 0.500 0.500
Ba1 Ba 0.000 0.500 0.000
Ba2 Ba 0.500 0.000 0.000
Rb1 Rb 0.000 0.000 0.500
# Magnetic moment = 0.00 μB/atom

Which structure is most stable? (B), by 0.027 eV/atom over the runner-up.